No. 1
An optimized crystal structure of CdSiPb2, computed with GGA-PBE.

Cell: 10.2894 10.2894 10.2894 Å, 19.47 19.47 19.47°
Fractional coordinates of all 4 atoms:
Si  0.4951  0.4951  0.4951
Cd  0.7623  0.7623  0.7623
Pb  0.2334  0.2334  0.2334
Pb  0.0092  0.0092  0.0092

Total magnetic moment (μB/f.u.): 0.00
Calculated total energy (eV/atom): -3.16
Calculated density (g/cm³): 8.7
V (Å³/cell): 105.86
Space-group type: R3m, No. 160

***

No. 2
An optimized crystal structure of ZnCdSiPb2, computed with GGA-PBE.

Cell: 5.6323 4.5496 5.6323 Å, 90.00 90.00 90.00°
Fractional coordinates of all 5 atoms:
Cd  0.5000  0.5000  0.5000
Pb  0.0000  0.0000  0.5000
Pb  0.5000  0.0000  0.0000
Si  0.0000  0.0000  0.0000
Zn  0.0000  0.5000  0.0000

Total magnetic moment (μB/f.u.): 0.00
Calculated total energy (eV/atom): -2.59
Calculated density (g/cm³): 7.1
V (Å³/cell): 144.33
Space-group type: P4/mmm, No. 123